# LaPr2PuP4 PBE-GGA optimized geometry
data_LaPr2PuP4
_chemical_formula_sum 'La1 Pr2 Pu1 P4'
_symmetry_space_group_name_H-M 'P 1 2/m 1'
_symmetry_Int_Tables_number 10
_cell_length_a 7.2169
_cell_length_b 4.1755
_cell_length_c 7.2205
_cell_angle_alpha 90.00
_cell_angle_beta 109.47
_cell_angle_gamma 90.00
loop_
_symmetry_equiv_pos_as_xyz
'x,y,z'
'-x,-y,-z'
'-x,y,-z'
'x,-y,z'
loop_
_atom_site_label
_atom_site_fract_x
_atom_site_fract_y
_atom_site_fract_z
La1 0.0000 0.0000 0.0000
Pr1 0.5000 0.0000 0.5000
Pr2 0.5000 0.5000 0.0000
Pu1 0.0000 0.5000 0.5000
P1 0.2391 0.0000 0.7374
P2 0.2456 0.5000 0.2573
# VASP energy   -7.72 eV per atom
# DOS at the Fermi energy   13.5 states/eV/f.u.
# Spin magnetization   0.6097 μB per atom
# Energy of formation   -1.4125 eV per atom